Material: ErTmCd
Method: DFT, GGA-PBE
State: optimized geometry

Lattice parameters (Å, degrees): 3.547 3.547 13.032 90.00 90.00 90.00
Fractional coordinates of all 6 atoms:
Er (0.000, 0.000, 0.000)
Er (0.500, 0.500, 0.500)
Tm (0.000, 0.000, 0.686)
Tm (0.500, 0.500, 0.186)
Cd (0.000, 0.000, 0.342)
Cd (0.500, 0.500, 0.842)

The energy relative to the lowest polymorph listed for this composition is 0.000 eV per atom. For the volume, the calculation gives 164 Å³/cell.

Material: Ho3BiB
Method: DFT, GGA-PBE
State: optimized geometry

Lattice parameters (Å, degrees): 5.018 5.018 5.018 90.00 90.00 90.00
Fractional coordinates of all 5 atoms:
Ho (0.000, 0.000, 0.500)
Ho (0.000, 0.500, 0.000)
Ho (0.500, 0.000, 0.000)
Bi (0.500, 0.500, 0.500)
B (0.000, 0.000, 0.000)

The electronic total energy comes out at -5.324 eV/atom. For the volume, the calculation gives 126 Å³/cell.

Material: Y2PW
Method: DFT, GGA-PBE
State: optimized geometry

Lattice parameters (Å, degrees): 4.071 5.147 8.219 90.00 90.00 90.00
Fractional coordinates of all 8 atoms:
Y (0.000, 0.000, 0.229)
Y (0.000, 0.000, 0.771)
Y (0.500, 0.500, 0.229)
Y (0.500, 0.500, 0.771)
P (0.000, 0.500, 0.000)
P (0.500, 0.000, 0.000)
W (0.000, 0.500, 0.500)
W (0.500, 0.000, 0.500)

The electronic total energy comes out at -7.896 eV/atom. For the volume, the calculation gives 172 Å³/cell.

Material: SmCoSi3Rh
Method: DFT, GGA-PBE
State: optimized geometry

Lattice parameters (Å, degrees): 6.923 6.923 5.669 90.00 90.00 127.58
Fractional coordinates of all 12 atoms:
Sm (0.212, 0.788, 0.750)
Sm (0.788, 0.212, 0.250)
Co (0.037, 0.963, 0.250)
Co (0.963, 0.037, 0.750)
Si (0.207, 0.793, 0.250)
Si (0.285, 0.285, 0.000)
Si (0.285, 0.285, 0.500)
Si (0.715, 0.715, 0.000)
Si (0.715, 0.715, 0.500)
Si (0.793, 0.207, 0.750)
Rh (0.386, 0.614, 0.250)
Rh (0.614, 0.386, 0.750)

For the uncorrected formation energy, the calculation gives -0.52 eV per atom. For the volume, the calculation gives 215 Å³/cell.

Material: AlGaSb
Method: DFT, GGA-PBE
State: optimized geometry

Lattice parameters (Å, degrees): 6.303 5.255 8.331 90.00 100.20 90.00
Fractional coordinates of all 12 atoms:
Al (0.156, 0.000, 0.401)
Al (0.344, 0.500, 0.599)
Al (0.656, 0.500, 0.401)
Al (0.844, 0.000, 0.599)
Ga (0.209, 0.000, 0.980)
Ga (0.291, 0.500, 0.020)
Ga (0.709, 0.500, 0.980)
Ga (0.791, 0.000, 0.020)
Sb (0.053, 0.500, 0.285)
Sb (0.447, 0.000, 0.715)
Sb (0.553, 0.000, 0.285)
Sb (0.947, 0.500, 0.715)

For the uncorrected formation energy, the calculation gives 0.07 eV per atom. The energy relative to the lowest polymorph listed for this composition is 0.057 eV per atom. For the volume, the calculation gives 272 Å³/cell.

Material: HgAsIr2
Method: DFT, GGA-PBE
State: optimized geometry

Lattice parameters (Å, degrees): 2.838 3.837 6.612 90.00 90.00 90.00
Fractional coordinates of all 4 atoms:
Hg (0.000, 0.000, 0.000)
As (0.500, 0.500, 0.637)
Ir (0.000, 0.000, 0.469)
Ir (0.500, 0.500, 0.254)

The energy relative to the lowest polymorph listed for this composition is 0.065 eV per atom. For the volume, the calculation gives 72 Å³/cell.

Material: CoRhAu2
Method: DFT, GGA-PBE
State: optimized geometry

Lattice parameters (Å, degrees): 5.558 7.912 2.814 90.00 90.00 90.00
Fractional coordinates of all 8 atoms:
Co (0.000, 0.000, 0.000)
Co (0.500, 0.500, 0.000)
Rh (0.000, 0.500, 0.000)
Rh (0.500, 0.000, 0.000)
Au (0.250, 0.250, 0.500)
Au (0.250, 0.750, 0.500)
Au (0.750, 0.250, 0.500)
Au (0.750, 0.750, 0.500)

The energy relative to the lowest polymorph listed for this composition is 0.139 eV per atom. For the volume, the calculation gives 124 Å³/cell.

Material: HgIBr2
Method: DFT, GGA-PBE
State: optimized geometry

Lattice parameters (Å, degrees): 11.573 11.573 6.214 90.00 90.00 90.00
Fractional coordinates of all 16 atoms:
Hg (0.000, 0.500, 0.000)
Hg (0.000, 0.500, 0.500)
Hg (0.500, 0.000, 0.000)
Hg (0.500, 0.000, 0.500)
I (0.000, 0.000, 0.251)
I (0.000, 0.000, 0.751)
I (0.500, 0.500, 0.251)
I (0.500, 0.500, 0.751)
Br (0.135, 0.365, 0.250)
Br (0.135, 0.635, 0.750)
Br (0.365, 0.135, 0.750)
Br (0.365, 0.865, 0.250)
Br (0.635, 0.135, 0.250)
Br (0.635, 0.865, 0.750)
Br (0.865, 0.365, 0.750)
Br (0.865, 0.635, 0.250)

For the uncorrected formation energy, the calculation gives -0.21 eV per atom. The energy relative to the lowest polymorph listed for this composition is 0.000 eV per atom. For the volume, the calculation gives 832 Å³/cell.

Material: La5Dy2Th
Method: DFT, GGA-PBE
State: optimized geometry

Lattice parameters (Å, degrees): 7.335 14.659 5.174 90.00 90.00 90.00
Fractional coordinates of all 16 atoms:
La (0.000, 0.000, 0.000)
La (0.010, 0.253, 0.000)
La (0.247, 0.378, 0.500)
La (0.253, 0.878, 0.500)
La (0.490, 0.753, 0.000)
La (0.500, 0.500, 0.000)
La (0.510, 0.247, 0.000)
La (0.747, 0.122, 0.500)
La (0.753, 0.622, 0.500)
La (0.990, 0.747, 0.000)
Dy (0.238, 0.620, 0.500)
Dy (0.262, 0.120, 0.500)
Dy (0.738, 0.880, 0.500)
Dy (0.762, 0.380, 0.500)
Th (0.000, 0.500, 0.000)
Th (0.500, 0.000, 0.000)

The electronic total energy comes out at -5.135 eV/atom. For the volume, the calculation gives 556 Å³/cell.

Material: Pm4Y5Er2
Method: DFT, GGA-PBE
State: optimized geometry

Lattice parameters (Å, degrees): 12.045 12.045 8.981 98.52 98.52 16.75
Fractional coordinates of all 11 atoms:
Pm (0.026, 0.026, 0.186)
Pm (0.370, 0.370, 0.965)
Pm (0.630, 0.630, 0.035)
Pm (0.974, 0.974, 0.814)
Y (0.174, 0.174, 0.400)
Y (0.232, 0.232, 0.823)
Y (0.500, 0.500, 0.500)
Y (0.768, 0.768, 0.177)
Y (0.826, 0.826, 0.600)
Er (0.101, 0.101, 0.701)
Er (0.899, 0.899, 0.299)

The energy relative to the lowest polymorph listed for this composition is 0.118 eV per atom. For the volume, the calculation gives 371 Å³/cell.

Material: ReTcSe
Method: DFT, GGA-PBE
State: optimized geometry

Lattice parameters (Å, degrees): 5.962 5.962 5.962 90.00 90.00 90.00
Fractional coordinates of all 12 atoms:
Re (0.000, 0.000, 0.000)
Re (0.000, 0.500, 0.500)
Re (0.500, 0.000, 0.500)
Re (0.500, 0.500, 0.000)
Tc (0.250, 0.250, 0.750)
Tc (0.250, 0.750, 0.250)
Tc (0.750, 0.250, 0.250)
Tc (0.750, 0.750, 0.750)
Se (0.250, 0.250, 0.250)
Se (0.250, 0.750, 0.750)
Se (0.750, 0.250, 0.750)
Se (0.750, 0.750, 0.250)

For the uncorrected formation energy, the calculation gives 0.45 eV per atom. The energy relative to the lowest polymorph listed for this composition is 0.271 eV per atom. For the volume, the calculation gives 212 Å³/cell.

Material: LaBe3C
Method: DFT, GGA-PBE
State: optimized geometry

Lattice parameters (Å, degrees): 5.430 5.430 5.430 90.00 90.00 90.00
Fractional coordinates of all 5 atoms:
La (0.000, 0.000, 0.000)
Be (0.000, 0.000, 0.500)
Be (0.000, 0.500, 0.000)
Be (0.500, 0.000, 0.000)
C (0.500, 0.500, 0.500)

The energy relative to the lowest polymorph listed for this composition is 2.495 eV per atom. For the volume, the calculation gives 160 Å³/cell.